Computed, not measured: a relaxed structure of TlPI2N at the PBE level of DFT.

```
TlPI2N
1.0
6.4467 0.0000 0.0000
0.0000 6.4467 0.0000
0.0000 0.0000 3.3973
I N P Tl
2 1 1 1
Direct
0.0000 0.5000 0.0000
0.5000 0.0000 0.0000
0.0000 0.0000 0.5000
0.0000 0.0000 0.0000
0.5000 0.5000 0.5000
```

Energy relative to the elements, uncorrected = 0.239 eV/atom
Symmetry = P4/mmm
Total magnetic moment = 0.00 μB/atom
Excess energy over the best structure of this formula in the dataset = 0 kJ/mol of formula units

=====

Computed, not measured: a relaxed structure of TlPI2N at the PBE level of DFT.

```
TlPI2N
1.0
-3.5962 2.1324 4.5098
-4.9741 -1.9554 -3.0419
0.2480 -3.5491 1.8759
P I N Tl
1 2 1 1
Direct
0.5000 0.5000 0.5000
0.0000 0.5000 0.0000
0.5000 0.0000 0.0000
0.0000 0.0000 0.5000
0.0000 0.0000 0.0000
```

Energy relative to the elements, uncorrected = 1.479 eV/atom
Symmetry = P4/mmm
Total magnetic moment = 0.00 μB/atom
Excess energy over the best structure of this formula in the dataset = 598 kJ/mol of formula units

=====

Computed, not measured: a relaxed structure of VPIN2 at the PBE level of DFT.

```
VPIN2
1.0
3.7934 0.0000 0.0000
0.0000 3.7934 0.0000
0.0000 0.0000 6.0785
P V I N
1 1 1 2
Direct
0.5000 0.5000 0.5000
0.0000 0.0000 0.0000
0.0000 0.0000 0.5000
0.5000 0.0000 0.0000
0.0000 0.5000 0.0000
```

Energy relative to the elements, uncorrected = 0.871 eV/atom
Symmetry = P4/mmm
Total magnetic moment = 0.05 μB/atom
Excess energy over the best structure of this formula in the dataset = 0 kJ/mol of formula units

=====

Computed, not measured: a relaxed structure of VPIN2 at the PBE level of DFT.

```
VPIN2
1.0
-0.7369 3.3648 1.0438
-2.7901 -1.2085 1.9259
4.3541 -0.8397 5.7809
P V I N
1 1 1 2
Direct
0.0000 0.0000 0.0000
0.5000 0.5000 0.5000
0.0000 0.0000 0.5000
0.0000 0.5000 0.0000
0.5000 0.0000 0.0000
```

Energy relative to the elements, uncorrected = 1.253 eV/atom
Symmetry = P4/mmm
Total magnetic moment = 0.82 μB/atom
Excess energy over the best structure of this formula in the dataset = 184 kJ/mol of formula units

=====

Computed, not measured: a relaxed structure of PWI2N at the PBE level of DFT.

```
PWI2N
1.0
5.5137 0.0000 0.0000
0.0000 5.5137 0.0000
0.0000 0.0000 3.8194
I N P W
2 1 1 1
Direct
0.5000 0.0000 0.0000
0.0000 0.5000 0.0000
0.0000 0.0000 0.5000
0.5000 0.5000 0.5000
0.0000 0.0000 0.0000
```

Energy relative to the elements, uncorrected = 0.845 eV/atom
Symmetry = P4/mmm
Total magnetic moment = 0.00 μB/atom
Excess energy over the best structure of this formula in the dataset = 0 kJ/mol of formula units

=====

Computed, not measured: a relaxed structure of PWIN2 at the PBE level of DFT.

```
PWIN2
1.0
3.6627 0.0000 0.0000
0.0000 6.8511 0.0000
0.0000 0.0000 3.6627
I W N P
1 1 2 1
Direct
0.0000 0.5000 0.0000
0.5000 0.5000 0.5000
0.0000 0.0000 0.5000
0.5000 0.0000 0.0000
0.0000 0.0000 0.0000
```

Energy relative to the elements, uncorrected = 2.033 eV/atom
Symmetry = P4/mmm
Total magnetic moment = 0.59 μB/atom
Excess energy over the best structure of this formula in the dataset = 534 kJ/mol of formula units

=====

Computed, not measured: a relaxed structure of PWIN2 at the PBE level of DFT.

```
PWIN2
1.0
3.8075 0.0000 0.0000
0.0000 5.8962 0.0000
0.0000 0.0000 3.8075
P N I W
1 2 1 1
Direct
0.5000 0.5000 0.5000
0.5000 0.0000 0.0000
0.0000 0.0000 0.5000
0.0000 0.0000 0.0000
0.0000 0.5000 0.0000
```

Energy relative to the elements, uncorrected = 2.402 eV/atom
Symmetry = P4/mmm
Total magnetic moment = 0.34 μB/atom
Excess energy over the best structure of this formula in the dataset = 712 kJ/mol of formula units

=====

Computed, not measured: a relaxed structure of PWIN2 at the PBE level of DFT.

```
PWIN2
1.0
-2.3117 -0.0406 -3.2003
-1.0017 -3.7403 0.7710
-4.5278 1.8818 3.2467
N W P I
2 1 1 1
Direct
0.5000 0.0000 0.0000
0.0000 0.5000 0.0000
0.0000 0.0000 0.0000
0.5000 0.5000 0.5000
0.0000 0.0000 0.5000
```

Energy relative to the elements, uncorrected = 0.926 eV/atom
Symmetry = P4/mmm
Total magnetic moment = 0.23 μB/atom
Excess energy over the best structure of this formula in the dataset = 0 kJ/mol of formula units

=====

Computed, not measured: a relaxed structure of PWI2N at the PBE level of DFT.

```
PWI2N
1.0
-5.4844 -0.5759 -0.7614
-0.4621 -2.2833 5.0560
-0.5008 3.0242 1.3200
I N W P
2 1 1 1
Direct
0.5000 0.0000 0.0000
0.0000 0.5000 0.0000
0.0000 0.0000 0.5000
0.5000 0.5000 0.5000
0.0000 0.0000 0.0000
```

Energy relative to the elements, uncorrected = 1.407 eV/atom
Symmetry = P4/mmm
Total magnetic moment = 0.51 μB/atom
Excess energy over the best structure of this formula in the dataset = 271 kJ/mol of formula units

=====

Computed, not measured: a relaxed structure of YPI2N at the PBE level of DFT.

```
YPI2N
1.0
-2.8083 -2.1530 4.7457
2.2944 -5.3512 -1.0699
2.7709 0.7887 1.9975
I N Y P
2 1 1 1
Direct
0.0000 0.5000 0.0000
0.5000 0.0000 0.0000
0.0000 0.0000 0.5000
0.5000 0.5000 0.5000
0.0000 0.0000 0.0000
```

Energy relative to the elements, uncorrected = 0.144 eV/atom
Symmetry = P4/mmm
Total magnetic moment = 0.00 μB/atom
Excess energy over the best structure of this formula in the dataset = 0 kJ/mol of formula units

=====

Computed, not measured: a relaxed structure of YPIN2 at the PBE level of DFT.

```
YPIN2
1.0
-0.1550 2.9098 -2.8314
-0.4750 -2.8270 -2.8793
-4.9944 0.2740 0.5550
P I N Y
1 1 2 1
Direct
0.0000 0.0000 0.0000
0.0000 0.0000 0.5000
0.5000 0.0000 0.0000
0.0000 0.5000 0.0000
0.5000 0.5000 0.5000
```

Energy relative to the elements, uncorrected = 0.842 eV/atom
Symmetry = P4/mmm
Total magnetic moment = 0.00 μB/atom
Excess energy over the best structure of this formula in the dataset = 0 kJ/mol of formula units

=====

Computed, not measured: a relaxed structure of YPIN2 at the PBE level of DFT.

```
YPIN2
1.0
4.4121 0.0000 0.0000
0.0000 4.4121 0.0000
0.0000 0.0000 6.5696
P Y N I
1 1 2 1
Direct
0.5000 0.5000 0.5000
0.0000 0.0000 0.0000
0.0000 0.5000 0.0000
0.5000 0.0000 0.0000
0.0000 0.0000 0.5000
```

Energy relative to the elements, uncorrected = 1.116 eV/atom
Symmetry = P4/mmm
Total magnetic moment = 0.86 μB/atom
Excess energy over the best structure of this formula in the dataset = 132 kJ/mol of formula units

=====

Computed, not measured: a relaxed structure of YPI2N at the PBE level of DFT.

```
YPI2N
1.0
6.1439 0.0000 0.0000
0.0000 4.5064 0.0000
0.0000 0.0000 6.1439
Y I N P
1 2 1 1
Direct
0.0000 0.0000 0.0000
0.5000 0.0000 0.0000
0.0000 0.0000 0.5000
0.0000 0.5000 0.0000
0.5000 0.5000 0.5000
```

Energy relative to the elements, uncorrected = 0.422 eV/atom
Symmetry = P4/mmm
Total magnetic moment = 0.20 μB/atom
Excess energy over the best structure of this formula in the dataset = 134 kJ/mol of formula units

=====

Computed, not measured: a relaxed structure of ZnPIN2 at the PBE level of DFT.

```
ZnPIN2
1.0
3.9325 0.0000 0.0000
0.0000 3.9325 0.0000
0.0000 0.0000 7.1041
Zn N P I
1 2 1 1
Direct
0.0000 0.0000 0.0000
0.0000 0.5000 0.0000
0.5000 0.0000 0.0000
0.5000 0.5000 0.5000
0.0000 0.0000 0.5000
```

Energy relative to the elements, uncorrected = 1.746 eV/atom
Symmetry = P4/mmm
Total magnetic moment = 0.73 μB/atom
Excess energy over the best structure of this formula in the dataset = 356 kJ/mol of formula units

=====

Computed, not measured: a relaxed structure of ZnPI2N at the PBE level of DFT.

```
ZnPI2N
1.0
-2.6982 4.7893 -2.7777
-3.1433 -3.8688 -3.6172
-2.4596 -0.0901 2.2338
Zn P N I
1 1 1 2
Direct
0.5000 0.5000 0.5000
0.0000 0.0000 0.0000
0.0000 0.0000 0.5000
0.0000 0.5000 0.0000
0.5000 0.0000 0.0000
```

Energy relative to the elements, uncorrected = 0.569 eV/atom
Symmetry = P4/mmm
Total magnetic moment = 0.00 μB/atom
Excess energy over the best structure of this formula in the dataset = 0 kJ/mol of formula units

=====

Computed, not measured: a relaxed structure of ZnPI2N at the PBE level of DFT.

```
ZnPI2N
1.0
5.6492 0.0000 0.0000
0.0000 5.6492 0.0000
0.0000 0.0000 3.7033
P N I Zn
1 1 2 1
Direct
0.5000 0.5000 0.5000
0.0000 0.0000 0.5000
0.5000 0.0000 0.0000
0.0000 0.5000 0.0000
0.0000 0.0000 0.0000
```

Energy relative to the elements, uncorrected = 1.171 eV/atom
Symmetry = P4/mmm
Total magnetic moment = 0.00 μB/atom
Excess energy over the best structure of this formula in the dataset = 291 kJ/mol of formula units

=====

Computed, not measured: a relaxed structure of ZnPIN2 at the PBE level of DFT.

```
ZnPIN2
1.0
3.6069 0.0000 0.0000
0.0000 3.6069 0.0000
0.0000 0.0000 7.0881
I Zn P N
1 1 1 2
Direct
0.0000 0.0000 0.5000
0.5000 0.5000 0.5000
0.0000 0.0000 0.0000
0.0000 0.5000 0.0000
0.5000 0.0000 0.0000
```

Energy relative to the elements, uncorrected = 1.009 eV/atom
Symmetry = P4/mmm
Total magnetic moment = 0.10 μB/atom
Excess energy over the best structure of this formula in the dataset = 0 kJ/mol of formula units

=====

Computed, not measured: a relaxed structure of ZrPIN2 at the PBE level of DFT.

```
ZrPIN2
1.0
4.1518 0.0000 0.0000
0.0000 4.1518 0.0000
0.0000 0.0000 6.3347
I N Zr P
1 2 1 1
Direct
0.0000 0.0000 0.5000
0.0000 0.5000 0.0000
0.5000 0.0000 0.0000
0.0000 0.0000 0.0000
0.5000 0.5000 0.5000
```

Energy relative to the elements, uncorrected = 0.813 eV/atom
Symmetry = P4/mmm
Total magnetic moment = 0.18 μB/atom
Excess energy over the best structure of this formula in the dataset = 0 kJ/mol of formula units

=====

Computed, not measured: a relaxed structure of ZrPIN2 at the PBE level of DFT.

```
ZrPIN2
1.0
3.9400 0.0000 0.0000
0.0000 3.9400 0.0000
0.0000 0.0000 4.9953
P Zr I N
1 1 1 2
Direct
0.0000 0.0000 0.0000
0.5000 0.5000 0.5000
0.0000 0.0000 0.5000
0.5000 0.0000 0.0000
0.0000 0.5000 0.0000
```

Energy relative to the elements, uncorrected = 1.213 eV/atom
Symmetry = P4/mmm
Total magnetic moment = 0.00 μB/atom
Excess energy over the best structure of this formula in the dataset = 193 kJ/mol of formula units

=====

Computed, not measured: a relaxed structure of Pa2I2N at the PBE level of DFT.

```
Pa2I2N
1.0
3.6614 0.0000 0.6836
1.7795 3.2131 0.6160
-0.3264 -0.1940 11.8958
I Pa N
2 2 1
Direct
0.5528 0.0884 0.8060
0.4472 0.9116 0.1940
0.7073 0.1948 0.3905
0.2927 0.8052 0.6095
0.0000 0.5000 0.5000
```

Energy relative to the elements, uncorrected = -1.023 eV/atom
Symmetry = C2/m
Total magnetic moment = 0.16 μB/atom

=====

Computed, not measured: a relaxed structure of Pa2IN at the PBE level of DFT.

```
Pa2IN
1.0
3.4907 0.0000 0.0000
1.7454 3.0231 0.0000
1.7454 1.0077 8.0513
Pa N I
2 1 1
Direct
0.7253 0.7253 0.8241
0.2747 0.2747 0.1759
0.0000 0.0000 0.0000
0.5000 0.5000 0.5000
```

Energy relative to the elements, uncorrected = -0.854 eV/atom
Symmetry = R-3m
Total magnetic moment = 0.00 μB/atom

=====

Computed, not measured: a relaxed structure of PbIN3 at the PBE level of DFT.

```
PbIN3
1.0
4.0957 0.0000 0.0000
0.0000 4.0957 0.0000
0.0000 0.0000 4.0957
N Pb I
3 1 1
Direct
0.5000 0.0000 0.0000
0.0000 0.0000 0.5000
0.0000 0.5000 0.0000
0.5000 0.5000 0.5000
0.0000 0.0000 0.0000
```

Energy relative to the elements, uncorrected = 1.844 eV/atom
Symmetry = Pm-3m
Total magnetic moment = 0.00 μB/atom

=====

Computed, not measured: a relaxed structure of Pb2I3N2 at the PBE level of DFT.

```
Pb2I3N2
1.0
4.1592 -0.0696 2.0018
1.9390 8.8573 1.5762
0.8485 -1.8930 8.7154
I N Pb
3 2 2
Direct
0.5000 0.0000 0.0000
0.4432 0.5807 0.2680
0.5568 0.4193 0.7320
0.6694 0.9173 0.3732
0.3306 0.0827 0.6268
0.0303 0.7496 0.0957
0.9697 0.2504 0.9043
```

Energy relative to the elements, uncorrected = 0.886 eV/atom
Symmetry = P-1
Total magnetic moment = 0.71 μB/atom

=====

Computed, not measured: a relaxed structure of PbIN2 at the PBE level of DFT.

```
PbIN2
1.0
-1.9744 4.4141 -3.5964
-5.6921 -1.4404 1.3571
-3.7341 4.3205 2.3040
N Pb I
4 2 2
Direct
0.6531 0.1250 0.2500
0.8750 0.9031 0.7500
0.0969 0.6250 0.2500
0.3750 0.3469 0.7500
0.0000 0.0000 0.0000
0.7500 0.2500 0.5000
0.2500 0.7500 0.5000
0.5000 0.5000 0.0000
```

Energy relative to the elements, uncorrected = 1.479 eV/atom
Symmetry = I-42d
Total magnetic moment = 0.00 μB/atom
Excess energy over the best structure of this formula in the dataset = 554 kJ/mol of formula units

=====

Computed, not measured: a relaxed structure of PbIN2 at the PBE level of DFT.

```
PbIN2
1.0
0.0000 3.2154 3.2154
3.2154 0.0000 3.2154
3.2154 3.2154 0.0000
Pb N I
1 2 1
Direct
0.5000 0.5000 0.5000
0.7500 0.7500 0.7500
0.2500 0.2500 0.2500
0.0000 0.0000 0.0000
```

Energy relative to the elements, uncorrected = 1.990 eV/atom
Symmetry = Fm-3m
Total magnetic moment = 0.00 μB/atom
Excess energy over the best structure of this formula in the dataset = 751 kJ/mol of formula units

=====

Computed, not measured: a relaxed structure of Pb3IN at the PBE level of DFT.

```
Pb3IN
1.0
-1.3959 4.6596 -1.9551
-4.8769 -1.7733 -0.7442
-1.3228 1.6206 4.8069
Pb I N
3 1 1
Direct
0.0000 0.5000 0.0000
0.5000 0.0000 0.0000
0.0000 0.0000 0.5000
0.5000 0.5000 0.5000
0.0000 0.0000 0.0000
```

Energy relative to the elements, uncorrected = 0.476 eV/atom
Symmetry = Pm-3m
Total magnetic moment = 0.00 μB/atom
Excess energy over the best structure of this formula in the dataset = 0 kJ/mol of formula units

=====

Computed, not measured: a relaxed structure of PbIN2 at the PBE level of DFT.

```
PbIN2
1.0
-0.7884 3.9706 4.6183
-3.7771 1.6663 4.6926
5.5300 -1.6522 6.2656
I N Pb
1 2 1
Direct
0.6307 0.0516 0.1830
0.8882 0.1994 0.6368
0.8010 0.3863 0.7356
0.3790 0.7888 0.1833
```

Energy relative to the elements, uncorrected = 0.044 eV/atom
Symmetry = P1
Total magnetic moment = 0.00 μB/atom
Excess energy over the best structure of this formula in the dataset = 0 kJ/mol of formula units

=====

Computed, not measured: a relaxed structure of PbIN2 at the PBE level of DFT.

```
PbIN2
1.0
-5.2774 -5.0030 2.3524
-2.6886 -7.0285 1.3368
-2.6357 -5.6106 4.4709
I Pb N
1 1 2
Direct
0.5000 0.5000 0.5000
0.0000 0.0000 0.0000
0.8864 0.8864 0.8864
0.1136 0.1136 0.1136
```

Energy relative to the elements, uncorrected = 1.505 eV/atom
Symmetry = R-3m
Total magnetic moment = 0.00 μB/atom
Excess energy over the best structure of this formula in the dataset = 564 kJ/mol of formula units

=====

Computed, not measured: a relaxed structure of Pb3IN at the PBE level of DFT.

```
Pb3IN
1.0
-1.4978 -4.1927 4.0175
3.4084 -3.9939 -2.8973
4.7013 1.5598 3.3805
N Pb I
1 3 1
Direct
0.5000 0.5000 0.5000
0.0000 0.5000 0.0000
0.0000 0.0000 0.5000
0.5000 0.0000 0.0000
0.0000 0.0000 0.0000
```

Energy relative to the elements, uncorrected = 1.839 eV/atom
Symmetry = Pm-3m
Total magnetic moment = 0.00 μB/atom
Excess energy over the best structure of this formula in the dataset = 658 kJ/mol of formula units